w | Computed, not measured: a relaxed structure of NaTmAsO at the PBE level of DFT.

The structure belongs to space group P4/nmm (No. 129, origin choice 2); the cell edges are 3.841, 3.841 and 10.314 Å and the angles 90.00°, 90.00° and 90.00°. The inequivalent atoms are Na at (0.250, 0.750, 0.000), Tm at (0.250, 0.250, 0.396), As at (0.250, 0.250, 0.787) and O at (0.250, 0.750, 0.500).

x | Computed, not measured: a relaxed structure of NaTmAsO at the PBE level of DFT.

The structure belongs to space group P4/nmm (No. 129, origin choice 2); the cell edges are 5.622, 5.622 and 4.908 Å and the angles 90.00°, 90.00° and 90.00°. The inequivalent atoms are Na at (0.250, 0.250, 0.003), Tm at (0.250, 0.750, 0.500), As at (0.250, 0.250, 0.503) and O at (0.250, 0.750, 0.000).

The most stable of them is w.